DFT (GGA-PBE) results for a relaxed ZnGaNi2Pb crystal.

Output
- Uncorrected energy: -3.50 eV per atom
- Symmetry: P4/mmm
- Crystal system: tetragonal
- Mass density: 8.0 g/cm3

Lattice parameters (Å, degrees): 4.5314 4.6315 4.5314 90.00 90.00 90.00
Last column: nearest neighbours and their distance in Å.
Element x y z (fractional)
Pb1 0.5000 0.5000 0.5000  4 Zn 3.20, 8 Ni 3.24
Ni1 0.0000 0.0000 0.5000  2 Ga 2.27
Ni2 0.5000 0.0000 0.0000  2 Ga 2.27
Zn1 0.0000 0.5000 0.0000  2 Ga 2.32
Ga1 0.0000 0.0000 0.0000  4 Ni 2.27, 2 Zn 2.32